V12Cr6Ru PBE relaxed; mass density = 6.65 g/cm3; space group = No. 148; ΔH_f (0 K) = 274 meV per atom
1.0
-4.579 -2.594 -3.861
4.767 1.374 -4.242
2.356 -5.255 3.070
V Cr Ru
12 6 1
Cartesian
-0.795 -3.746 -3.621
2.956 -2.124 -3.811
2.027 -4.790 -0.850
3.339 -2.730 -1.410
-0.412 -4.351 -1.221
0.517 -1.686 -4.181
1.045 -2.406 0.037
0.887 -5.840 -3.100
3.377 -4.760 -3.231
1.499 -4.070 -5.069
1.657 -0.636 -1.932
-0.833 -1.715 -1.801
2.052 -1.874 -6.207
-2.048 -1.562 -4.020
4.158 -0.459 -2.301
0.492 -4.601 1.175
4.592 -4.914 -1.012
-1.614 -6.016 -2.731
0.000 0.000 0.000

ZrBeZnRh PBE relaxed; mass density = 7.71 g/cm3; space group = No. 216; ΔH_f (0 K) = -358 meV per atom
1.0
4.342 0.000 0.000
2.171 3.760 0.000
2.171 1.253 3.545
Be Zn Rh Zr
1 1 1 1
Cartesian
4.342 2.507 1.772
0.000 0.000 0.000
2.171 1.253 0.886
6.512 3.760 2.659

PmNdSm2Tl4 PBE relaxed; mass density = 10.03 g/cm3; space group = No. 166; ΔH_f (0 K) = -382 meV per atom
1.0
5.481 0.000 0.000
2.741 4.747 0.000
2.741 1.582 8.959
Pm Nd Sm Tl
1 1 2 4
Cartesian
5.481 3.165 4.480
0.000 0.000 0.000
8.222 4.747 6.719
2.741 1.582 2.240
5.481 3.165 7.831
8.222 4.747 3.369
2.741 1.582 5.590
5.481 3.165 1.128

KSrLa3 PBE relaxed; mass density = 4.11 g/cm3; space group = No. 221; ΔH_f (0 K) = 820 meV per atom; relative energy among the computed polymorphs = 0 meV/atom
1.0
6.035 0.000 0.000
0.000 6.035 0.000
0.000 0.000 6.035
Sr K La
1 1 3
Cartesian
3.017 3.017 3.017
0.000 0.000 0.000
0.000 3.017 0.000
0.000 0.000 3.017
3.017 0.000 0.000

La4PmNd15 PBE relaxed; mass density = 6.66 g/cm3; space group = No. 123; ΔH_f (0 K) = 15 meV per atom
1.0
-0.144 1.588 4.982
-2.494 -4.401 1.331
22.915 -11.665 4.380
La Pm Nd
4 1 15
Cartesian
4.577 -2.330 0.875
9.161 -4.663 1.751
13.755 -7.002 2.629
18.338 -9.335 3.505
0.000 0.000 0.000
-1.319 -1.406 3.156
3.242 -3.728 4.028
7.844 -6.070 4.908
12.433 -8.407 5.785
17.035 -10.749 6.665
2.196 -0.360 2.924
6.795 -2.701 3.803
11.386 -5.038 4.681
15.977 -7.375 5.558
20.576 -9.716 6.437
1.021 -3.355 1.099
5.620 -5.696 1.978
10.210 -8.033 2.856
14.801 -10.370 3.733
19.400 -12.711 4.612

La2Ga4Ag3 PBE relaxed; mass density = 7.58 g/cm3; space group = No. 64; ΔH_f (0 K) = -388 meV per atom
1.0
-5.709 1.623 0.767
-2.401 -7.007 -3.041
2.928 -4.039 6.994
La Ga Ag
4 8 6
Cartesian
-1.409 -4.852 -0.220
-3.772 -4.570 4.940
-0.166 -3.189 5.508
-5.015 -6.233 -0.788
-3.163 -7.681 4.386
-4.873 -0.929 0.718
-2.018 -1.741 0.335
-0.308 -8.493 4.002
-2.339 -8.033 -0.407
-2.842 -1.389 5.127
-1.116 -5.493 3.315
-4.065 -3.929 1.406
0.000 0.000 0.000
-4.055 -2.692 -1.137
-3.187 -6.610 1.938
-4.848 -2.000 3.167
-1.994 -2.812 2.783
-0.333 -7.422 1.554

CuIN2Cl PBE relaxed; formation energy (no corrections) = 8.503 eV/f.u.; mass density = 4.49 g/cm3; space group = No. 123; relative energy among the computed polymorphs = 153 meV/atom
1.0
-2.128 -3.288 -0.471
0.194 -0.979 5.951
-3.319 2.084 0.451
I N Cu Cl
1 2 1 1
Cartesian
0.000 0.000 0.000
-1.659 1.042 0.226
-1.064 -1.644 -0.236
0.097 -0.489 2.975
-2.626 -1.091 2.965

NaCdCu PBE relaxed; mass density = 4.84 g/cm3; space group = No. 146; ΔH_f (0 K) = 144 meV per atom; relative energy among the computed polymorphs = 29 meV/atom
1.0
7.042 0.000 0.000
3.521 6.098 0.000
3.521 2.033 4.767
Cu Cd Na
3 3 3
Cartesian
3.521 2.033 1.857
7.042 4.066 4.240
10.562 6.098 3.960
9.601 3.602 3.841
6.163 6.514 3.841
5.360 2.081 3.841
8.384 5.631 1.632
7.726 2.120 1.632
5.014 4.445 1.632